[1]
The following is a DFT calculation (PBE) of a relaxed Sc2CrRe crystal.

Cell lengths 4.1568, 2.9817, 5.7717 Å; angles 77.84, 90.00, 90.00 degrees
With the nearest neighbours (Å) after each atom.
Atoms (fractional coordinates):
Sc: 0.5000 0.2553 0.2810  1 Re 2.71, 2 Cr 2.77, 4 Sc 2.96-2.98
Re: 0.5000 0.7060 0.7186  2 Cr 2.44, 1 Sc 2.71
Cr: 0.0000 0.5375 0.5339  2 Re 2.44, 1 Sc 2.67
Sc: 0.0000 0.0011 0.9665  1 Cr 2.67, 2 Re 2.77, 4 Sc 2.96-2.98

Values from the calculation:
energy above the lowest structure with this stoichiometry	0.1608	eV/atom
total DFT energy (no corrections)	-8.54	eV/atom
energy relative to the elements	0.14	eV/atom



[2]
The following is a DFT calculation (PBE) of a relaxed Pm2NF crystal.

Cell lengths 3.5763, 3.5763, 6.6470 Å; angles 74.39, 74.39, 60.00 degrees
With the nearest neighbours (Å) after each atom.
Atoms (fractional coordinates):
N: 0.6691 0.6691 0.9926  6 Pm 2.42-2.49
Pm: 0.2625 0.2625 0.2125  3 N 2.49, 3 F 2.77
Pm: 0.0695 0.0695 0.7914  3 N 2.42
F: 0.4988 0.4988 0.5035  6 Pm 2.75-2.77

Values from the calculation:
ΔE_f (raw)	-190	kJ/mol of atoms
energy above the lowest structure with this stoichiometry	0.0713	eV/atom
total DFT energy (no corrections)	-6.89	eV/atom



[3]
The following is a DFT calculation (PBE) of a relaxed Fe2TcRh crystal.

Cell lengths 4.5927, 4.5927, 4.5381 Å; angles 80.46, 80.46, 33.61 degrees
With the nearest neighbours (Å) after each atom.
Atoms (fractional coordinates):
Tc: 0.2487 0.2487 0.2489  7 Fe 2.60-2.68, 3 Rh 2.64-2.65, 2 Tc 2.66
Fe: 0.0030 0.0030 0.9955  3 Tc 2.62-2.68, 5 Fe 2.62-2.66, 4 Rh 2.62-2.64
Fe: 0.7502 0.7502 0.7560  4 Tc 2.60-2.66, 5 Fe 2.62-2.66, 3 Rh 2.64-2.68
Rh: 0.4981 0.4981 0.4996  7 Fe 2.62-2.68, 3 Tc 2.64-2.65, 2 Rh 2.66

Values from the calculation:
energy above the lowest structure with this stoichiometry	0.0389	eV/atom
total DFT energy (no corrections)	-8.60	eV/atom
energy relative to the elements	0.06	eV/atom



[4]
The following is a DFT calculation (PBE) of a relaxed KPmCdSe3 crystal.

Cell lengths 4.3370, 9.0474, 10.2885 Å; angles 106.27, 90.00, 90.00 degrees
With the nearest neighbours (Å) after each atom.
Atoms (fractional coordinates):
Se: 0.7500 0.8977 0.1325  1 Cd 2.62
Se: 0.2500 0.1023 0.8675  1 Cd 2.62
Cd: 0.7500 0.9147 0.3914  4 Se 2.62-2.80
K: 0.2500 0.2084 0.2269  5 Se 3.36-3.55
Se: 0.2500 0.5429 0.8468  3 Pm 2.89-2.95
K: 0.7500 0.7916 0.7731  5 Se 3.36-3.55
Pm: 0.2500 0.6721 0.1379  6 Se 2.89-3.19
Se: 0.2500 0.7746 0.4607  3 Cd 2.71-2.80
Pm: 0.7500 0.3279 0.8621  6 Se 2.89-3.19
Se: 0.7500 0.4571 0.1532  3 Pm 2.89-2.95
Cd: 0.2500 0.0853 0.6086  4 Se 2.62-2.80
Se: 0.7500 0.2254 0.5393  3 Cd 2.71-2.80

Values from the calculation:
ΔE_f (raw)	-129	kJ/mol of atoms
total DFT energy (no corrections)	-4.20	eV/atom



[5]
The following is a DFT calculation (PBE) of a relaxed Pu3Al9Ag2 crystal.

Cell lengths 4.4364, 8.3009, 8.3009 Å; angles 71.98, 74.50, 74.50 degrees
With the nearest neighbours (Å) after each atom.
Atoms (fractional coordinates):
Al: 0.0000 0.5000 0.5000  4 Al 2.78, 4 Ag 2.84
Al: 0.8579 0.4246 0.8596  4 Al 2.65-2.78, 2 Ag 2.88
Al: 0.3477 0.0184 0.2861  4 Al 2.61-2.73, 1 Ag 2.63
Al: 0.1421 0.5754 0.1404  4 Al 2.65-2.78, 2 Ag 2.88
Al: 0.3477 0.2861 0.0184  4 Al 2.61-2.73, 1 Ag 2.63
Al: 0.6523 0.7139 0.9816  4 Al 2.61-2.73, 1 Ag 2.63
Al: 0.1421 0.1404 0.5754  4 Al 2.65-2.78, 2 Ag 2.88
Al: 0.6523 0.9816 0.7139  4 Al 2.61-2.73, 1 Ag 2.63
Ag: 0.5000 0.6825 0.3175  8 Al 2.63-2.88
Pu: 0.7114 0.2886 0.2886  10 Al 3.10-3.32, 2 Ag 3.22
Al: 0.8579 0.8596 0.4246  4 Al 2.65-2.78, 2 Ag 2.88
Pu: 0.0000 0.0000 0.0000  12 Al 3.22-3.29
Ag: 0.5000 0.3175 0.6825  8 Al 2.63-2.88
Pu: 0.2886 0.7114 0.7114  10 Al 3.10-3.32, 2 Ag 3.22

Values from the calculation:
total DFT energy (no corrections)	-6.11	eV/atom
energy relative to the elements	-0.22	eV/atom



[6]
The following is a DFT calculation (PBE) of a relaxed HfAsSe2F crystal.

Cell lengths 5.0576, 5.0576, 5.2672 Å; angles 90.00, 90.00, 90.00 degrees
With the nearest neighbours (Å) after each atom.
Atoms (fractional coordinates):
F: 0.5000 0.5000 0.5000  4 As 3.58, 8 Se 3.65
Se: 0.5000 0.0000 0.0000  2 Hf 2.53
As: 0.0000 0.0000 0.5000  2 Hf 2.63
Hf: 0.0000 0.0000 0.0000  4 Se 2.53, 2 As 2.63
Se: 0.0000 0.5000 0.0000  2 Hf 2.53

Values from the calculation:
ΔE_f (raw)	-27	kJ/mol of atoms
energy above the lowest structure with this stoichiometry	0.0000	eV/atom
total DFT energy (no corrections)	-4.97	eV/atom



[7]
The following is a DFT calculation (PBE) of a relaxed ThCdGa crystal.

Cell lengths 3.6477, 4.7940, 8.3230 Å; angles 90.00, 90.00, 90.00 degrees
With the nearest neighbours (Å) after each atom.
Atoms (fractional coordinates):
Th: 0.3116 0.7162 0.1244  6 Ga 3.17-3.24, 6 Cd 3.39-3.49
Cd: 0.8116 0.2164 0.3115  1 Ga 2.76, 2 Cd 2.78
Th: 0.3116 0.2162 0.6685  6 Ga 3.17-3.24, 6 Cd 3.39-3.49
Cd: 0.8117 0.7164 0.4815  1 Ga 2.75, 2 Cd 2.78
Ga: 0.8116 0.2159 0.9803  1 Cd 2.76, 2 Ga 2.77
Ga: 0.8116 0.7160 0.8124  1 Cd 2.75, 2 Ga 2.77

Values from the calculation:
total DFT energy (no corrections)	-4.13	eV/atom
energy relative to the elements	-0.34	eV/atom



[8]
The following is a DFT calculation (PBE) of a relaxed PrSmHSe crystal.

Cell lengths 4.0288, 4.0288, 13.5447 Å; angles 81.45, 81.45, 60.00 degrees
With the nearest neighbours (Å) after each atom.
Atoms (fractional coordinates):
Se: 0.0000 0.0000 0.0000  6 Pr 3.02
Pr: 0.6186 0.6186 0.1441  3 H 2.42
Sm: 0.2107 0.2107 0.3680  1 H 2.32
Pr: 0.3814 0.3814 0.8559  3 H 2.42
H: 0.7314 0.7314 0.8059  1 Sm 2.32, 3 Pr 2.42
H: 0.2686 0.2686 0.1941  1 Sm 2.32, 3 Pr 2.42
Sm: 0.7893 0.7893 0.6320  1 H 2.32
Se: 0.5000 0.5000 0.5000  6 Sm 2.92

Values from the calculation:
total DFT energy (no corrections)	-5.21	eV/atom



Among the records above, which one has the highest total DFT energy (no corrections)?
ThCdGa